1.
First-principles (PBE) data for an optimized crystal structure of CdPd2S2, as listed in Alexandria via LeMat-Bulk.

Output
Space-group type: P4/mbm (127)
Formation energy from raw total energies: -1.6 kJ per mole of atoms
Total magnetization: 0.00 μB/f.u.
V: 86.94 Å³/f.u.
Final energy: -39.3 eV for the cell shown

Unit cell a=7.1384 b=7.1384 c=3.4122 alpha=90.00 beta=90.00 gamma=90.00
Closest atoms and distances in Å follow each position.
Positions (direct):
Cd  0.0000  0.0000  0.0000  4 S 2.70
Cd  0.5000  0.5000  0.0000  4 S 2.70
Pd  0.1679  0.3321  0.5000  2 S 2.47
Pd  0.3321  0.8321  0.5000  2 S 2.47
Pd  0.6679  0.1679  0.5000  2 S 2.47
Pd  0.8321  0.6679  0.5000  2 S 2.47
S  0.1551  0.6551  0.0000  2 Pd 2.47, 2 Cd 2.70
S  0.3449  0.1551  0.0000  2 Pd 2.47, 2 Cd 2.70
S  0.6551  0.8449  0.0000  2 Pd 2.47, 2 Cd 2.70
S  0.8449  0.3449  0.0000  2 Pd 2.47, 2 Cd 2.70

***

2.
First-principles (PBE) data for an optimized crystal structure of Rb2Th2MnTe6, as listed in Alexandria via LeMat-Bulk.

Output
Space-group type: C2/m (12)
Formation energy from raw total energies: -96.4 kJ per mole of atoms
Total magnetization: 5.00 μB/f.u.
V: 456.29 Å³/f.u.
Final energy: -55.8 eV for the cell shown

Unit cell a=7.7442 b=7.7442 c=9.1797 alpha=98.29 beta=98.29 gamma=120.05
Closest atoms and distances in Å follow each position.
Positions (direct):
Rb  0.1690  0.8310  0.0000  6 Te 3.71-3.75
Rb  0.8310  0.1690  0.0000  6 Te 3.71-3.75
Th  0.3327  0.6673  0.5000  6 Te 3.14-3.15
Th  0.6673  0.3327  0.5000  6 Te 3.14-3.15
Mn  0.0000  0.0000  0.5000  6 Te 2.96-3.03
Te  0.0686  0.3890  0.6965  1 Mn 3.03, 2 Th 3.14-3.15
Te  0.2498  0.2498  0.3085  1 Mn 2.96, 2 Th 3.15
Te  0.3890  0.0686  0.6965  1 Mn 3.03, 2 Th 3.14-3.15
Te  0.6110  0.9314  0.3035  1 Mn 3.03, 2 Th 3.14-3.15
Te  0.7502  0.7502  0.6915  1 Mn 2.96, 2 Th 3.15
Te  0.9314  0.6110  0.3035  1 Mn 3.03, 2 Th 3.14-3.15

***

3.
First-principles (PBE) data for an optimized crystal structure of LaNd2SmTm4, as listed in Alexandria via LeMat-Bulk.

Output
Space-group type: P2/m (10)
ΔE_f: 0.02 eV/atom
Total magnetization: 0.00 μB/f.u.
V: 260.84 Å³/f.u.
Final energy: -73.8 eV for the cell shown

Unit cell a=7.2450 b=9.9108 c=7.2653 alpha=90.00 beta=90.12 gamma=90.00
Closest atoms and distances in Å follow each position.
Positions (direct):
La  0.0000  0.0000  0.0000  8 Tm 3.58-3.59, 2 La 3.62, 2 Nd 3.63
La  0.5000  0.0000  0.0000  8 Tm 3.58, 2 La 3.62, 2 Sm 3.63
Nd  0.0000  0.0000  0.5000  8 Tm 3.57-3.58, 2 Sm 3.62, 2 La 3.63
Nd  0.0000  0.5000  0.0000  8 Tm 3.56, 2 Sm 3.62, 2 Nd 3.63
Nd  0.0000  0.5000  0.5000  8 Tm 3.55-3.56, 4 Nd 3.62-3.63
Nd  0.5000  0.5000  0.5000  8 Tm 3.55, 2 Nd 3.62, 2 Sm 3.63
Sm  0.5000  0.0000  0.5000  8 Tm 3.57, 2 Nd 3.62, 2 La 3.63
Sm  0.5000  0.5000  0.0000  8 Tm 3.56, 4 Nd 3.62-3.63
Tm  0.2508  0.2515  0.2511  4 Nd 3.55-3.58, 2 Sm 3.56-3.57, 2 La 3.58, 4 Tm 3.61-3.65
Tm  0.2507  0.2515  0.7489  4 Nd 3.55-3.57, 2 Sm 3.56-3.57, 2 La 3.58-3.59, 4 Tm 3.61-3.65
Tm  0.2507  0.7485  0.7489  4 Nd 3.55-3.57, 2 Sm 3.56-3.57, 2 La 3.58-3.59, 4 Tm 3.61-3.65
Tm  0.2508  0.7485  0.2511  4 Nd 3.55-3.58, 2 Sm 3.56-3.57, 2 La 3.58, 4 Tm 3.61-3.65
Tm  0.7492  0.2515  0.7489  4 Nd 3.55-3.58, 2 Sm 3.56-3.57, 2 La 3.58, 4 Tm 3.61-3.65
Tm  0.7492  0.2515  0.2511  4 Nd 3.55-3.57, 2 Sm 3.56-3.57, 2 La 3.58-3.59, 4 Tm 3.61-3.65
Tm  0.7492  0.7485  0.2511  4 Nd 3.55-3.57, 2 Sm 3.56-3.57, 2 La 3.58-3.59, 4 Tm 3.61-3.65
Tm  0.7492  0.7485  0.7489  4 Nd 3.55-3.58, 2 Sm 3.56-3.57, 2 La 3.58, 4 Tm 3.61-3.65

***

4.
First-principles (PBE) data for an optimized crystal structure of CaMgTlHg, as listed in Alexandria via LeMat-Bulk.

Output
Space-group type: F-43m (216)
ΔE_f: -0.34 eV/atom
Total magnetization: 0.00 μB/f.u.
V: 100.63 Å³/f.u.
Final energy: -7.6 eV for the cell shown

Unit cell a=5.2210 b=5.2210 c=5.2210 alpha=60.00 beta=60.00 gamma=60.00
Closest atoms and distances in Å follow each position.
Positions (direct):
Ca  0.0000  0.0000  0.0000  4 Hg 3.20, 4 Tl 3.20
Mg  0.5000  0.5000  0.5000  4 Hg 3.20, 4 Tl 3.20
Tl  0.2500  0.2500  0.2500  4 Mg 3.20, 4 Ca 3.20
Hg  0.7500  0.7500  0.7500  4 Mg 3.20, 4 Ca 3.20

***

5.
First-principles (PBE) data for an optimized crystal structure of Li2ZnGa4, as listed in Alexandria via LeMat-Bulk.

Output
Space-group type: Fmmm (69)
ΔE_f: -0.15 eV/atom
Offset from the most stable computed form: 0.0000 eV per atom
Total magnetization: 0.00 μB/f.u.
V: 117.19 Å³/f.u.
Final energy: -18.3 eV for the cell shown

Unit cell a=6.5220 b=5.4054 c=5.3389 alpha=74.75 beta=53.09 gamma=52.16
Closest atoms and distances in Å follow each position.
Positions (direct):
Li  0.2500  0.2500  0.2500  8 Ga 2.71-2.74, 2 Li 2.76
Li  0.7500  0.7500  0.7500  8 Ga 2.71-2.74, 2 Li 2.76
Zn  0.0000  0.0000  0.0000  4 Ga 2.73-2.78
Ga  0.2982  0.7018  0.2982  4 Ga 2.63-2.89, 1 Zn 2.73, 4 Li 2.74
Ga  0.2992  0.2992  0.7008  4 Ga 2.63-2.90, 4 Li 2.71, 1 Zn 2.78
Ga  0.7008  0.7008  0.2992  4 Ga 2.63-2.90, 4 Li 2.71, 1 Zn 2.78
Ga  0.7018  0.2982  0.7018  4 Ga 2.63-2.89, 1 Zn 2.73, 4 Li 2.74

***

6.
First-principles (PBE) data for an optimized crystal structure of Cd2MoRu, as listed in Alexandria via LeMat-Bulk.

Output
Space-group type: C2/m (12)
ΔE_f: 0.47 eV/atom
Offset from the most stable computed form: 0.3478 eV per atom
Total magnetization: 0.00 μB/f.u.
V: 69.20 Å³/f.u.
Final energy: -20.1 eV for the cell shown

Unit cell a=5.2185 b=5.2185 c=4.7130 alpha=103.01 beta=103.01 gamma=33.69
Closest atoms and distances in Å follow each position.
Positions (direct):
Cd  0.2448  0.2448  0.2452  6 Cd 2.78-3.02, 3 Ru 2.88-3.04, 3 Mo 2.96-2.97
Cd  0.7552  0.7552  0.7548  6 Cd 2.78-3.02, 3 Ru 2.88-3.04, 3 Mo 2.96-2.97
Mo  0.0000  0.0000  0.5000  4 Ru 2.80, 6 Cd 2.96-2.97, 2 Mo 3.02
Ru  0.5000  0.5000  0.0000  4 Mo 2.80, 6 Cd 2.88-3.04, 2 Ru 3.02